Computed, not measured: a relaxed structure of YNi2ClF at the GGA+U level of DFT.

It has space group P4/mmm (No. 123), with a = 3.860 Å, b = 3.860 Å, c = 5.427 Å, α = 90.00°, β = 90.00° and γ = 90.00°. The asymmetric unit holds Y at (0.000, 0.000, 0.000), Ni at (0.000, 0.500, 0.500), Cl at (0.500, 0.500, 0.000) and F at (0.500, 0.500, 0.500).

The calculation puts the total energy at -3.27 eV/atom. Its magnetization is 0.00 μB per formula unit. For the density of states at the Fermi level, the calculation gives 0.467 states/eV per atom.